A plane-wave DFT calculation with PBE was carried out for a relaxed structure of LiCe2Al3.

Unit cell a=5.7230 b=5.7230 c=5.5303 alpha=90.06 beta=121.16 gamma=119.94
Atoms (fractional coordinates):
Ce (0.7847, 0.3923, 0.1770)
Al (0.5000, 0.0000, 0.5000)
Al (0.5000, 0.5000, 0.5000)
Li (0.0000, 0.0000, 0.0000)
Al (0.0000, 0.0000, 0.5000)
Ce (0.2153, 0.6077, 0.8230)

Summary:
Energy in eV per atom: -4.51
Crystal system: trigonal